one) ! LaTaP2 PBE optimized geometry; values from VASP
! DOS at the Fermi energy   2.631 states/eV/f.u.
! Calculated volume   75 Å³/cell
&SYSTEM
  ibrav = 0, nat = 4, ntyp = 3
/
ATOMIC_SPECIES
P 30.97 P.upf
La 138.91 La.upf
Ta 180.95 Ta.upf
CELL_PARAMETERS angstrom
-2.9081 -1.4205 -0.5258
1.5076 -2.6118 -1.2828
1.8096 -5.5550 4.9983
ATOMIC_POSITIONS crystal
P 0.0000 0.9493 0.0505
P 0.0000 0.5507 0.4495
La 0.5000 0.7500 0.7500
Ta 0.5000 0.2500 0.2500

---

two) ! LaTaP2 PBE optimized geometry; values from VASP
! DOS at the Fermi energy   4.048 states/eV/f.u.
! Calculated volume   76 Å³/cell
&SYSTEM
  ibrav = 0, nat = 4, ntyp = 3
/
ATOMIC_SPECIES
Ta 180.95 Ta.upf
P 30.97 P.upf
La 138.91 La.upf
CELL_PARAMETERS angstrom
-1.8948 4.0601 -1.5726
-4.4220 1.1970 1.2494
-0.7247 3.6031 3.0067
ATOMIC_POSITIONS crystal
Ta 0.7500 0.7500 0.7500
P 0.0000 0.0000 0.0000
P 0.2500 0.2500 0.2500
La 0.5000 0.5000 0.5000

---

So which one wins? Going from most stable to least: one), two).

---

one) ! LaTaP2 PBE optimized geometry; values from VASP
! DOS at the Fermi energy   5.680 states/eV/f.u.
! Calculated volume   76 Å³/cell
&SYSTEM
  ibrav = 0, nat = 4, ntyp = 3
/
ATOMIC_SPECIES
P 30.97 P.upf
Ta 180.95 Ta.upf
La 138.91 La.upf
CELL_PARAMETERS angstrom
0.0000 3.3554 3.3554
3.3554 0.0000 3.3554
3.3554 3.3554 0.0000
ATOMIC_POSITIONS crystal
P 0.7500 0.7500 0.7500
P 0.2500 0.2500 0.2500
Ta 0.5000 0.5000 0.5000
La 0.0000 0.0000 0.0000

---

two) ! LaTaP2 PBE optimized geometry; values from VASP
! DOS at the Fermi energy   3.864 states/eV/f.u.
! Calculated volume   83 Å³/cell
&SYSTEM
  ibrav = 0, nat = 4, ntyp = 3
/
ATOMIC_SPECIES
La 138.91 La.upf
P 30.97 P.upf
Ta 180.95 Ta.upf
CELL_PARAMETERS angstrom
-5.5332 1.6357 1.8886
-4.9519 0.4560 -3.4829
4.6359 -3.6937 1.3131
ATOMIC_POSITIONS crystal
La 0.7500 0.2500 0.5000
P 0.0000 0.0000 0.0000
P 0.2500 0.7500 0.5000
Ta 0.5000 0.5000 0.0000

---

So which one wins? Going from most stable to least: one), two).

---

one) ! LaTbP2 PBE optimized geometry; values from VASP
! DOS at the Fermi energy   0.475 states/eV/f.u.
! Calculated volume   101 Å³/cell
&SYSTEM
  ibrav = 0, nat = 4, ntyp = 3
/
ATOMIC_SPECIES
P 30.97 P.upf
Tb 158.93 Tb.upf
La 138.91 La.upf
CELL_PARAMETERS angstrom
-2.6696 -1.0484 -3.0031
-2.2189 -3.4954 0.3216
-6.5475 1.8986 2.2850
ATOMIC_POSITIONS crystal
P 0.2541 0.2541 0.2374
P 0.7459 0.7459 0.7626
Tb 0.0000 0.0000 0.0000
La 0.5000 0.5000 0.5000

---

two) ! LaTbP2 PBE optimized geometry; values from VASP
! DOS at the Fermi energy   0.230 states/eV/f.u.
! Calculated volume   102 Å³/cell
&SYSTEM
  ibrav = 0, nat = 4, ntyp = 3
/
ATOMIC_SPECIES
P 30.97 P.upf
Tb 158.93 Tb.upf
La 138.91 La.upf
CELL_PARAMETERS angstrom
4.0810 0.0000 0.0000
2.0405 3.5342 0.0000
2.0405 1.1781 7.0908
ATOMIC_POSITIONS crystal
P 0.2552 0.2552 0.2343
P 0.0787 0.0787 0.7639
Tb 0.6686 0.6686 0.9943
La 0.4975 0.4975 0.5075

---

So which one wins? Going from most stable to least: one), two).

---

one) ! LaTcP PBE optimized geometry; values from VASP
! DOS at the Fermi energy   3.855 states/eV/f.u.
! Calculated volume   67 Å³/cell
&SYSTEM
  ibrav = 0, nat = 3, ntyp = 3
/
ATOMIC_SPECIES
Tc 98.00 Tc.upf
P 30.97 P.upf
La 138.91 La.upf
CELL_PARAMETERS angstrom
-4.2250 -1.1322 -1.2898
-3.3547 3.0809 0.2228
-1.7572 1.7387 -3.8321
ATOMIC_POSITIONS crystal
Tc 0.0000 0.0000 0.0000
P 0.7500 0.7500 0.7500
La 0.5000 0.5000 0.5000

---

two) ! LaTcP PBE optimized geometry; values from VASP
! DOS at the Fermi energy   4.212 states/eV/f.u.
! Calculated volume   64 Å³/cell
&SYSTEM
  ibrav = 0, nat = 3, ntyp = 3
/
ATOMIC_SPECIES
Tc 98.00 Tc.upf
La 138.91 La.upf
P 30.97 P.upf
CELL_PARAMETERS angstrom
-2.6807 -2.4199 -1.9174
3.3495 1.2938 -1.9559
2.2047 -3.5653 1.4172
ATOMIC_POSITIONS crystal
Tc 0.6667 0.3333 0.4993
La 0.0000 0.0000 0.0005
P 0.3333 0.6667 0.5002

---

three) ! LaTcP PBE optimized geometry; values from VASP
! DOS at the Fermi energy   2.652 states/eV/f.u.
! Calculated volume   57 Å³/cell
&SYSTEM
  ibrav = 0, nat = 3, ntyp = 3
/
ATOMIC_SPECIES
Tc 98.00 Tc.upf
P 30.97 P.upf
La 138.91 La.upf
CELL_PARAMETERS angstrom
-0.5494 -1.7497 5.6907
-3.7732 1.2076 4.4779
0.8319 -1.4476 -5.7411
ATOMIC_POSITIONS crystal
Tc 0.7071 0.7071 0.0000
P 0.2944 0.2944 0.0000
La 0.9985 0.9985 0.0000

---

So which one wins? Going from most stable to least: two), three), one).

---

one) ! LaTc2P2 PBE optimized geometry; values from VASP
! DOS at the Fermi energy   3.076 states/eV/f.u.
! Calculated volume   89 Å³/cell
&SYSTEM
  ibrav = 0, nat = 5, ntyp = 3
/
ATOMIC_SPECIES
Tc 98.00 Tc.upf
P 30.97 P.upf
La 138.91 La.upf
CELL_PARAMETERS angstrom
-2.8686 0.6393 -2.9960
-2.8912 -1.9218 2.3582
1.6566 5.0815 2.4376
ATOMIC_POSITIONS crystal
Tc 0.2500 0.7500 0.5000
Tc 0.7500 0.2500 0.5000
P 0.6431 0.6431 0.2861
P 0.3569 0.3569 0.7139
La 0.0000 0.0000 0.0000

---

two) ! LaTc2P2 PBE optimized geometry; values from VASP
! DOS at the Fermi energy   4.158 states/eV/f.u.
! Calculated volume   90 Å³/cell
&SYSTEM
  ibrav = 0, nat = 5, ntyp = 3
/
ATOMIC_SPECIES
Tc 98.00 Tc.upf
P 30.97 P.upf
La 138.91 La.upf
CELL_PARAMETERS angstrom
-3.1378 2.2343 -2.3167
-1.3409 -3.8488 -1.8957
-5.1433 -1.4347 1.2218
ATOMIC_POSITIONS crystal
Tc 0.6301 0.6301 0.7398
Tc 0.3699 0.3699 0.2602
P 0.2500 0.7500 0.5000
P 0.7500 0.2500 0.5000
La 0.0000 0.0000 0.0000

---

So which one wins? Going from most stable to least: one), two).

---

one) ! La3Te2P PBE optimized geometry; values from VASP
! DOS at the Fermi energy   3.481 states/eV/f.u.
! Calculated volume   382 Å³/cell
&SYSTEM
  ibrav = 0, nat = 12, ntyp = 3
/
ATOMIC_SPECIES
La 138.91 La.upf
Te 127.60 Te.upf
P 30.97 P.upf
CELL_PARAMETERS angstrom
7.6664 0.1953 0.3364
-1.4960 7.6229 -0.2149
-1.4960 -3.9657 6.5137
ATOMIC_POSITIONS crystal
La 0.4963 0.6418 0.7885
La 0.9963 0.7885 0.6418
La 0.5000 0.0000 0.5000
La 0.0000 0.5000 0.0000
La 0.5037 0.3582 0.2115
La 0.0037 0.2115 0.3582
Te 0.7500 0.0811 0.9189
Te 0.2500 0.2407 0.7593
Te 0.2500 0.9189 0.0811
Te 0.7500 0.7593 0.2407
P 0.7500 0.4122 0.5878
P 0.2500 0.5878 0.4122

---

two) ! La3Te2P PBE optimized geometry; values from VASP
! DOS at the Fermi energy   3.201 states/eV/f.u.
! Calculated volume   382 Å³/cell
&SYSTEM
  ibrav = 0, nat = 12, ntyp = 3
/
ATOMIC_SPECIES
La 138.91 La.upf
P 30.97 P.upf
Te 127.60 Te.upf
CELL_PARAMETERS angstrom
-6.5225 -2.6016 3.1714
1.6488 -3.2076 6.9960
-4.1940 4.6088 4.5151
ATOMIC_POSITIONS crystal
La 0.9246 0.2241 0.6461
La 0.2811 0.2197 0.0000
La 0.4293 0.7759 0.6461
La 0.5707 0.2241 0.3539
La 0.0754 0.7759 0.3539
La 0.7189 0.7803 0.0000
P 0.6679 0.0000 0.6642
P 0.3321 0.0000 0.3358
Te 0.8404 0.5000 0.3193
Te 0.1596 0.5000 0.6807
Te 0.5000 0.5000 0.0000
Te 0.0000 0.0000 0.0000

---

So which one wins? Going from most stable to least: two), one).

---

one) ! LaTeP3 PBE optimized geometry; values from VASP
! DOS at the Fermi energy   9.524 states/eV/f.u.
! Calculated volume   164 Å³/cell
&SYSTEM
  ibrav = 0, nat = 5, ntyp = 3
/
ATOMIC_SPECIES
Te 127.60 Te.upf
P 30.97 P.upf
La 138.91 La.upf
CELL_PARAMETERS angstrom
5.4721 0.0000 0.0000
0.0000 5.4721 0.0000
0.0000 0.0000 5.4721
ATOMIC_POSITIONS crystal
Te 0.5000 0.5000 0.5000
P 0.5000 0.0000 0.0000
P 0.0000 0.0000 0.5000
P 0.0000 0.5000 0.0000
La 0.0000 0.0000 0.0000

---

two) ! LaTeP3 PBE optimized geometry; values from VASP
! DOS at the Fermi energy   3.092 states/eV/f.u.
! Calculated volume   127 Å³/cell
&SYSTEM
  ibrav = 0, nat = 5, ntyp = 3
/
ATOMIC_SPECIES
Te 127.60 Te.upf
P 30.97 P.upf
La 138.91 La.upf
CELL_PARAMETERS angstrom
-2.3202 3.0963 3.2179
-3.5297 -3.4929 0.8159
2.7355 -1.8808 3.7821
ATOMIC_POSITIONS crystal
Te 0.0000 0.0000 0.0000
P 0.0000 0.0000 0.5000
P 0.5000 0.0000 0.0000
P 0.0000 0.5000 0.0000
La 0.5000 0.5000 0.5000

---

So which one wins? Going from most stable to least: two), one).

---

one) ! LaThP PBE optimized geometry; values from VASP
! DOS at the Fermi energy   3.632 states/eV/f.u.
! Calculated volume   375 Å³/cell
&SYSTEM
  ibrav = 0, nat = 12, ntyp = 3
/
ATOMIC_SPECIES
La 138.91 La.upf
Th 232.04 Th.upf
P 30.97 P.upf
CELL_PARAMETERS angstrom
5.7900 0.0000 0.0000
0.0000 8.0463 1.0686
0.0000 -2.7538 7.6765
ATOMIC_POSITIONS crystal
La 0.2497 0.7964 0.6237
La 0.2503 0.2964 0.6237
La 0.7503 0.2036 0.3763
La 0.7497 0.7036 0.3763
Th 0.7500 0.0956 0.8666
Th 0.2500 0.9044 0.1334
Th 0.2500 0.4044 0.1334
Th 0.7500 0.5956 0.8666
P 0.7500 0.8996 0.1186
P 0.2500 0.6004 0.8814
P 0.2500 0.1004 0.8814
P 0.7500 0.3996 0.1186

---

two) ! LaThP PBE optimized geometry; values from VASP
! DOS at the Fermi energy   2.832 states/eV/f.u.
! Calculated volume   95 Å³/cell
&SYSTEM
  ibrav = 0, nat = 3, ntyp = 3
/
ATOMIC_SPECIES
La 138.91 La.upf
P 30.97 P.upf
Th 232.04 Th.upf
CELL_PARAMETERS angstrom
-6.3852 2.3253 0.2395
-1.2509 -3.5714 1.3257
1.1270 2.8257 2.6120
ATOMIC_POSITIONS crystal
La 0.7452 0.6667 0.3333
P 0.0041 0.0000 0.0000
Th 0.2507 0.3333 0.6667

---

So which one wins? Going from most stable to least: one), two).